1.
A PBEsol-optimized structure of NiPSe2Br. Source: Alexandria, functional meta-GGA SCAN.

Unit cell a=4.619 b=4.619 c=4.614 alpha=90.00 beta=90.00 gamma=90.00
Element x y z (fractional)
Ni1 0.000 0.000 0.000
P1 0.500 0.500 0.500
Se1 0.000 0.500 0.000
Se2 0.500 0.000 0.000
Br1 0.000 0.000 0.500

Computed properties:
Calculated volume: 98.4 Å³/cell
Raw formation energy: 0.666 eV/atom
Raw total energy: -16.5717 eV per atom

---

2.
A PBEsol-optimized structure of NiPdSeBr2. Source: Alexandria, functional meta-GGA SCAN.

Unit cell a=4.756 b=4.756 c=4.624 alpha=90.00 beta=90.00 gamma=90.00
Element x y z (fractional)
Ni1 0.000 0.000 0.000
Pd1 0.500 0.500 0.500
Se1 0.000 0.000 0.500
Br1 0.000 0.500 0.000
Br2 0.500 0.000 0.000

Computed properties:
Calculated volume: 104.6 Å³/cell
Raw formation energy: 0.410 eV/atom
Raw total energy: -21.1789 eV per atom

---

3.
A PBEsol-optimized structure of NiPtBr. Source: Alexandria, functional meta-GGA SCAN.

Unit cell a=3.234 b=3.234 c=5.329 alpha=90.00 beta=90.00 gamma=120.00
Element x y z (fractional)
Ni1 0.000 0.000 0.000
Pt1 0.667 0.333 0.701
Br1 0.333 0.667 0.286

Computed properties:
Calculated volume: 48.3 Å³/cell
Raw formation energy: 0.239 eV/atom
Raw total energy: -35.0361 eV per atom

---

4.
A PBEsol-optimized structure of Rb2SiNiBr. Source: Alexandria, functional meta-GGA SCAN.

Unit cell a=6.505 b=6.505 c=4.303 alpha=90.00 beta=90.00 gamma=90.00
Element x y z (fractional)
Rb1 0.000 0.500 0.000
Rb2 0.500 0.000 0.000
Si1 0.000 0.000 0.500
Ni1 0.500 0.500 0.500
Br1 0.500 0.500 0.000

Computed properties:
Calculated volume: 182.1 Å³/cell
Raw formation energy: 0.268 eV/atom
Raw total energy: -17.1572 eV per atom

---

5.
A PBEsol-optimized structure of Ni2RhBr. Source: Alexandria, functional meta-GGA SCAN.

Unit cell a=4.423 b=4.423 c=2.900 alpha=90.00 beta=90.00 gamma=109.39
Element x y z (fractional)
Ni1 0.000 0.500 0.000
Ni2 0.500 0.000 0.000
Rh1 0.000 0.000 0.500
Br1 0.500 0.500 0.500

Computed properties:
Calculated volume: 53.5 Å³/cell
Raw formation energy: 0.605 eV/atom
Raw total energy: -20.7897 eV per atom
Energy relative to the lowest polymorph listed for this composition: 0.0 meV/atom

---

6.
A PBEsol-optimized structure of Ni2RhBr. Source: Alexandria, functional meta-GGA SCAN.

Unit cell a=4.972 b=4.972 c=4.972 alpha=145.82 beta=129.58 gamma=62.33
Element x y z (fractional)
Ni1 0.000 0.000 0.000
Ni2 0.754 0.254 0.500
Rh1 0.275 0.775 0.500
Br1 0.523 0.523 0.000

Computed properties:
Calculated volume: 52.7 Å³/cell
Raw formation energy: 0.705 eV/atom
Raw total energy: -20.6896 eV per atom
Energy relative to the lowest polymorph listed for this composition: 100.1 meV/atom

---

7.
A PBEsol-optimized structure of NiRhBr2. Source: Alexandria, functional meta-GGA SCAN.

Unit cell a=4.970 b=4.970 c=4.970 alpha=140.86 beta=108.00 gamma=85.15
Element x y z (fractional)
Ni1 0.000 0.000 0.000
Rh1 0.500 0.500 0.000
Br1 0.234 0.734 0.500
Br2 0.766 0.266 0.500

Computed properties:
Calculated volume: 71.2 Å³/cell
Raw formation energy: 0.392 eV/atom
Raw total energy: -21.8244 eV per atom

---

8.
A PBEsol-optimized structure of NiRh2Br2. Source: Alexandria, functional meta-GGA SCAN.

Unit cell a=5.034 b=5.034 c=5.034 alpha=121.22 beta=121.22 gamma=87.90
Element x y z (fractional)
Ni1 0.000 0.000 0.000
Rh1 0.250 0.750 0.500
Rh2 0.750 0.250 0.500
Br1 0.302 0.302 0.000
Br2 0.698 0.698 0.000

Computed properties:
Calculated volume: 88.5 Å³/cell
Raw formation energy: 0.726 eV/atom
Raw total energy: -23.8012 eV per atom

---

Repeat the second record exactly.
A PBEsol-optimized structure of NiPdSeBr2. Source: Alexandria, functional meta-GGA SCAN.

Unit cell a=4.756 b=4.756 c=4.624 alpha=90.00 beta=90.00 gamma=90.00
Element x y z (fractional)
Ni1 0.000 0.000 0.000
Pd1 0.500 0.500 0.500
Se1 0.000 0.000 0.500
Br1 0.000 0.500 0.000
Br2 0.500 0.000 0.000

Computed properties:
Calculated volume: 104.6 Å³/cell
Raw formation energy: 0.410 eV/atom
Raw total energy: -21.1789 eV per atom

---

> Among the records above, which one has the lowest raw formation energy?

NiPtBr

---

> What is the calculated volume in the first record?

98.4 Å³/cell

---

> Look up the raw formation energy of the first one.

0.666 eV/atom